Crystalline Be2ReSe at its relaxed geometry. Source: Alexandria via LeMat-Bulk, functional PBE.

```
data_Be2ReSe
_chemical_formula_sum 'Be2 Re1 Se1'
_cell_length_a 2.716
_cell_length_b 2.716
_cell_length_c 7.784
_cell_angle_alpha 90.00
_cell_angle_beta 90.00
_cell_angle_gamma 108.00
_space_group_name_H-M_alt 'P 1'
_space_group_IT_number 1
loop_
_space_group_symop_operation_xyz
'x,y,z'
loop_
_atom_site_label
_atom_site_type_symbol
_atom_site_fract_x
_atom_site_fract_y
_atom_site_fract_z
Be1 Be 0.000 0.000 0.220
Be2 Be 0.000 0.000 0.780
Re1 Re 0.500 0.500 0.000
Se1 Se 0.500 0.500 0.500
```

Properties
Energy, eV per atom: -5.47
Raw formation energy, meV per atom: 372.0
Volume, Å³/f.u.: 54.61


Crystalline Li2AcHg10 at its relaxed geometry. Source: Alexandria via LeMat-Bulk, functional PBE.

```
data_Li2AcHg10
_chemical_formula_sum 'Li2 Ac1 Hg10'
_cell_length_a 10.316
_cell_length_b 8.035
_cell_length_c 7.696
_cell_angle_alpha 81.92
_cell_angle_beta 50.46
_cell_angle_gamma 47.61
_space_group_name_H-M_alt 'P 1'
_space_group_IT_number 1
loop_
_space_group_symop_operation_xyz
'x,y,z'
loop_
_atom_site_label
_atom_site_type_symbol
_atom_site_fract_x
_atom_site_fract_y
_atom_site_fract_z
Li1 Li 0.000 0.500 0.000
Li2 Li 0.500 0.000 0.500
Ac1 Ac 0.000 0.000 0.000
Hg1 Hg 0.000 0.000 0.500
Hg2 Hg 0.023 0.341 0.659
Hg3 Hg 0.282 0.490 0.510
Hg4 Hg 0.341 0.023 0.977
Hg5 Hg 0.490 0.282 0.718
Hg6 Hg 0.500 0.500 0.000
Hg7 Hg 0.510 0.718 0.282
Hg8 Hg 0.659 0.977 0.023
Hg9 Hg 0.718 0.510 0.490
Hg10 Hg 0.977 0.659 0.341
```

Properties
Energy, eV per atom: -1.05
Formation energy, eV/atom: -0.21
Volume, Å³/f.u.: 313.28


Crystalline Pm3ThPd12 at its relaxed geometry. Source: Alexandria via LeMat-Bulk, functional PBE.

```
data_Pm3ThPd12
_chemical_formula_sum 'Pm3 Th1 Pd12'
_cell_length_a 4.193
_cell_length_b 4.193
_cell_length_c 16.745
_cell_angle_alpha 90.00
_cell_angle_beta 90.00
_cell_angle_gamma 90.00
_space_group_name_H-M_alt 'P 1'
_space_group_IT_number 1
loop_
_space_group_symop_operation_xyz
'x,y,z'
loop_
_atom_site_label
_atom_site_type_symbol
_atom_site_fract_x
_atom_site_fract_y
_atom_site_fract_z
Pm1 Pm 0.000 0.000 0.000
Pm2 Pm 0.000 0.000 0.248
Pm3 Pm 0.000 0.000 0.752
Th1 Th 0.000 0.000 0.500
Pd1 Pd 0.000 0.500 0.125
Pd2 Pd 0.000 0.500 0.377
Pd3 Pd 0.000 0.500 0.623
Pd4 Pd 0.000 0.500 0.875
Pd5 Pd 0.500 0.000 0.125
Pd6 Pd 0.500 0.000 0.377
Pd7 Pd 0.500 0.000 0.623
Pd8 Pd 0.500 0.000 0.875
Pd9 Pd 0.500 0.500 0.000
Pd10 Pd 0.500 0.500 0.251
Pd11 Pd 0.500 0.500 0.500
Pd12 Pd 0.500 0.500 0.749
```

Properties
Energy, eV per atom: -6.10
Formation energy, eV/atom: -0.86
Volume, Å³/f.u.: 294.43